[1]
! GGA-PBE Co2AuBr, optimized geometry; values from VASP
! ΔE_f (raw) (eV/f.u.): 2.92
! M_tot (Bohr magnetons per cell): 3.65
! N(E_F) (states/eV/cell): 12.0
&SYSTEM
  ibrav = 0, nat = 4, ntyp = 3
/
ATOMIC_SPECIES
Co 58.93 Co.upf
Au 196.97 Au.upf
Br 79.90 Br.upf
CELL_PARAMETERS angstrom
0.000 3.156 3.156
3.156 0.000 3.156
3.156 3.156 0.000
ATOMIC_POSITIONS angstrom
Co 1.578 1.578 1.578
Co 4.735 4.735 4.735
Au 0.000 0.000 0.000
Br 3.156 3.156 3.156

[2]
! GGA-PBE Co2AuBr, optimized geometry; values from VASP
! ΔE_f (raw) (eV/f.u.): 1.75
! M_tot (Bohr magnetons per cell): 4.06
! N(E_F) (states/eV/cell): 3.7
&SYSTEM
  ibrav = 0, nat = 4, ntyp = 3
/
ATOMIC_SPECIES
Co 58.93 Co.upf
Au 196.97 Au.upf
Br 79.90 Br.upf
CELL_PARAMETERS angstrom
3.454 0.000 0.000
0.000 3.416 0.000
-0.605 0.000 6.320
ATOMIC_POSITIONS angstrom
Co 0.000 0.000 0.000
Co 1.620 1.708 0.026
Au 2.769 1.708 4.355
Br 2.107 0.000 2.050

[3]
! GGA-PBE Co2AuBr8, optimized geometry; values from VASP
! ΔE_f (raw) (eV/f.u.): -1.80
! M_tot (Bohr magnetons per cell): 5.03
! N(E_F) (states/eV/cell): 6.9
&SYSTEM
  ibrav = 0, nat = 11, ntyp = 3
/
ATOMIC_SPECIES
Co 58.93 Co.upf
Au 196.97 Au.upf
Br 79.90 Br.upf
CELL_PARAMETERS angstrom
5.959 -4.063 0.000
5.959 4.063 0.000
-4.132 0.000 8.688
ATOMIC_POSITIONS angstrom
Co -0.343 0.000 3.561
Co 8.129 0.000 5.127
Au 0.000 0.000 0.000
Br -1.324 0.000 5.735
Br 1.847 2.301 6.896
Br 5.938 2.301 1.793
Br 1.822 0.000 4.428
Br 5.964 0.000 4.260
Br 1.847 -2.301 6.896
Br 5.938 -2.301 1.793
Br 9.109 0.000 2.953